ScHPd3: optimized geometry, GGA-PBE.

Summary:
Space group: P2_1/c (14)
DFT total energy, eV per cell: -112.150

Cell: 8.3849 4.0447 9.1267 Å, 90.00 116.04 90.00°
Last column: nearest neighbours and their distance in Å.
Positions (direct):
Sc: 0.2047 0.0073 0.1398  1 H 2.18
Sc: 0.2047 0.4927 0.6398  1 H 2.18
Sc: 0.7953 0.5073 0.3602  1 H 2.18
Sc: 0.7953 0.9927 0.8602  1 H 2.18
H: 0.2516 0.6890 0.9694  3 Pd 1.76-1.80
H: 0.2516 0.8110 0.4694  3 Pd 1.76-1.80
H: 0.7484 0.1890 0.5306  3 Pd 1.76-1.80
H: 0.7484 0.3110 0.0306  3 Pd 1.76-1.80
Pd: 0.0451 0.0091 0.3675  1 H 1.76
Pd: 0.0451 0.4909 0.8675  1 H 1.76
Pd: 0.3182 0.0050 0.8717  1 H 1.78
Pd: 0.3182 0.4950 0.3717  1 H 1.78
Pd: 0.4403 0.0139 0.6267  1 H 1.80
Pd: 0.4403 0.4861 0.1267  1 H 1.80
Pd: 0.5597 0.5139 0.8733  1 H 1.80
Pd: 0.5597 0.9861 0.3733  1 H 1.80
Pd: 0.6818 0.5050 0.6283  1 H 1.78
Pd: 0.6818 0.9950 0.1283  1 H 1.78
Pd: 0.9549 0.5091 0.1325  1 H 1.76
Pd: 0.9549 0.9909 0.6325  1 H 1.76



Zn2SiHPb: optimized geometry, GGA-PBE.

Summary:
Space group: P4/mmm (123)
DFT total energy, eV per cell: -12.349

Cell: 4.3763 4.3763 4.5102 Å, 90.00 90.00 90.00°
Last column: nearest neighbours and their distance in Å.
Positions (direct):
Zn: 0.0000 0.5000 0.0000  2 H 2.19
Zn: 0.5000 0.0000 0.0000  2 H 2.19
Si: 0.0000 0.0000 0.5000  4 Pb 3.09, 8 Zn 3.14
H: 0.5000 0.5000 0.0000  4 Zn 2.19, 2 Pb 2.26
Pb: 0.5000 0.5000 0.5000  2 H 2.26



Co2P2N: optimized geometry, GGA-PBE.

Summary:
Space group: P3m1 (156)
Formation energy from raw total energies, eV per atom: -0.1574
DFT total energy, eV per cell: -34.144

Cell: 3.2342 3.2342 6.3677 Å, 90.00 90.00 120.00°
Last column: nearest neighbours and their distance in Å.
Positions (direct):
Co: 0.0000 0.0000 0.0000  3 N 2.14, 3 P 2.16
Co: 0.0000 0.0000 0.3894  6 P 2.24-2.33, 1 Co 2.48
P: 0.3333 0.6667 0.1713  6 Co 2.16-2.33
P: 0.6667 0.3333 0.5844  1 N 1.61
N: 0.6667 0.3333 0.8369  1 P 1.61



Li2Tl3: optimized geometry, GGA-PBE.

Summary:
Space group: R-3c (167)
DFT formation energy, kcal/mol of atoms: -1.24
DFT total energy, eV per cell: -22.389

Cell: 8.2067 8.2067 8.2067 Å, 45.15 45.15 45.15°
Last column: nearest neighbours and their distance in Å.
Positions (direct):
Li: 0.1852 0.1852 0.1852  1 Li 2.86, 6 Tl 2.94-3.00
Li: 0.3148 0.3148 0.3148  1 Li 2.86, 6 Tl 2.94-3.00
Li: 0.6852 0.6852 0.6852  1 Li 2.86, 6 Tl 2.94-3.00
Li: 0.8148 0.8148 0.8148  1 Li 2.86, 6 Tl 2.94-3.00
Tl: 0.1682 0.7500 0.3318  4 Li 2.94-3.00, 4 Tl 3.27
Tl: 0.2500 0.6682 0.8318  4 Li 2.94-3.00, 4 Tl 3.27
Tl: 0.3318 0.1682 0.7500  4 Li 2.94-3.00, 4 Tl 3.27
Tl: 0.6682 0.8318 0.2500  4 Li 2.94-3.00, 4 Tl 3.27
Tl: 0.7500 0.3318 0.1682  4 Li 2.94-3.00, 4 Tl 3.27
Tl: 0.8318 0.2500 0.6682  4 Li 2.94-3.00, 4 Tl 3.27



CeEuSbPd: optimized geometry, GGA-PBE.

Summary:
Space group: F-43m (216)
Formation energy from raw total energies, eV per atom: -0.7342
DFT total energy, eV per cell: -113.841

Cell: 7.5523 7.5523 7.5523 Å, 90.00 90.00 90.00°
Last column: nearest neighbours and their distance in Å.
Positions (direct):
Ce: 0.0000 0.0000 0.0000  4 Sb 3.27, 4 Pd 3.27
Ce: 0.0000 0.5000 0.5000  4 Sb 3.27, 4 Pd 3.27
Ce: 0.5000 0.0000 0.5000  4 Sb 3.27, 4 Pd 3.27
Ce: 0.5000 0.5000 0.0000  4 Sb 3.27, 4 Pd 3.27
Eu: 0.0000 0.0000 0.5000  4 Pd 3.27, 4 Sb 3.27
Eu: 0.0000 0.5000 0.0000  4 Pd 3.27, 4 Sb 3.27
Eu: 0.5000 0.0000 0.0000  4 Pd 3.27, 4 Sb 3.27
Eu: 0.5000 0.5000 0.5000  4 Pd 3.27, 4 Sb 3.27
Sb: 0.2500 0.2500 0.7500  4 Ce 3.27, 4 Eu 3.27
Sb: 0.2500 0.7500 0.2500  4 Ce 3.27, 4 Eu 3.27
Sb: 0.7500 0.2500 0.2500  4 Ce 3.27, 4 Eu 3.27
Sb: 0.7500 0.7500 0.7500  4 Ce 3.27, 4 Eu 3.27
Pd: 0.2500 0.2500 0.2500  4 Ce 3.27, 4 Eu 3.27
Pd: 0.2500 0.7500 0.7500  4 Ce 3.27, 4 Eu 3.27
Pd: 0.7500 0.2500 0.7500  4 Ce 3.27, 4 Eu 3.27
Pd: 0.7500 0.7500 0.2500  4 Ce 3.27, 4 Eu 3.27



As2PdSeO: optimized geometry, GGA-PBE.

Summary:
Space group: P4/mmm (123)
Formation energy from raw total energies, eV per atom: 0.3187
DFT total energy, eV per cell: -21.341

Cell: 4.2329 4.2329 4.8074 Å, 90.00 90.00 90.00°
Last column: nearest neighbours and their distance in Å.
Positions (direct):
As: 0.0000 0.5000 0.0000  2 O 2.12
As: 0.5000 0.0000 0.0000  2 O 2.12
Pd: 0.0000 0.0000 0.5000  4 Se 2.99, 8 As 3.20
Se: 0.5000 0.5000 0.5000  2 O 2.40
O: 0.5000 0.5000 0.0000  4 As 2.12



SmYC: optimized geometry, GGA-PBE.

Summary:
Space group: P3m1 (156)
DFT formation energy, kcal/mol of atoms: -4.70
DFT total energy, eV per cell: -21.018

Cell: 3.6180 3.6180 6.4105 Å, 90.00 90.00 120.00°
Last column: nearest neighbours and their distance in Å.
Positions (direct):
Sm: 0.0000 0.0000 0.0000  3 C 2.52
Y: 0.3333 0.6667 0.4289  3 C 2.48
C: 0.6667 0.3333 0.2206  3 Y 2.48, 3 Sm 2.52



PrNi2B2: optimized geometry, GGA-PBE.

Summary:
Space group: C2/m (12)
DFT formation energy, kcal/mol of atoms: -7.86
DFT total energy, eV per cell: -62.802

Cell: 10.5276 3.2570 3.9697 Å, 90.00 103.29 90.00°
Last column: nearest neighbours and their distance in Å.
Positions (direct):
Pr: 0.0000 0.0000 0.0000  6 B 2.90-2.94, 8 Ni 3.15-3.20
Pr: 0.5000 0.5000 0.0000  6 B 2.90-2.94, 8 Ni 3.15-3.20
Ni: 0.1826 0.5000 0.6012  4 B 2.02-2.11
Ni: 0.3174 0.0000 0.3988  4 B 2.02-2.11
Ni: 0.6826 0.0000 0.6012  4 B 2.02-2.11
Ni: 0.8174 0.5000 0.3988  4 B 2.02-2.11
B: 0.2386 0.5000 0.1234  2 B 1.94, 4 Ni 2.02-2.11
B: 0.2614 0.0000 0.8766  2 B 1.94, 4 Ni 2.02-2.11
B: 0.7386 0.0000 0.1234  2 B 1.94, 4 Ni 2.02-2.11
B: 0.7614 0.5000 0.8766  2 B 1.94, 4 Ni 2.02-2.11